Record 1
A relaxed Tm5ScPd6 crystal, computed with PBE.

Unit cell a=7.7500 b=7.7500 c=6.7492 alpha=90.00 beta=90.00 gamma=143.03
Closest atoms and distances in Å follow each position.
Fractional coordinates of all 12 atoms:
Tm 0.0000 0.0000 0.0000  8 Pd 2.94-3.01
Tm 0.3330 0.6670 0.0000  8 Pd 3.00-3.03
Tm 0.3347 0.6653 0.5000  8 Pd 2.93-3.02
Tm 0.6653 0.3347 0.5000  8 Pd 2.93-3.02
Tm 0.6670 0.3330 0.0000  8 Pd 3.00-3.03
Sc 0.0000 0.0000 0.5000  8 Pd 2.91-2.96
Pd 0.1628 0.8372 0.2538  1 Sc 2.91, 7 Tm 2.94-3.03
Pd 0.1628 0.8372 0.7462  1 Sc 2.91, 7 Tm 2.94-3.03
Pd 0.5000 0.5000 0.2563  6 Tm 2.93-3.01, 2 Sc 2.96
Pd 0.5000 0.5000 0.7437  6 Tm 2.93-3.01, 2 Sc 2.96
Pd 0.8372 0.1628 0.2538  1 Sc 2.91, 7 Tm 2.94-3.03
Pd 0.8372 0.1628 0.7462  1 Sc 2.91, 7 Tm 2.94-3.03

Computed properties:
* DOS at the Fermi energy: 0.6158 states/eV per atom
* calculated total energy: -5.914 eV/atom
* V: 243.8 Å³/cell


Record 2
A relaxed Tm2Sc3Pd2 crystal, computed with PBE.

Unit cell a=6.1230 b=6.1230 c=8.5323 alpha=114.99 beta=114.99 gamma=34.06
Closest atoms and distances in Å follow each position.
Fractional coordinates of all 7 atoms:
Tm 0.1500 0.1500 0.3067  2 Pd 2.94
Tm 0.8500 0.8500 0.6933  2 Pd 2.94
Sc 0.3868 0.3868 0.0585  3 Pd 2.77-2.84
Sc 0.5000 0.5000 0.5000  4 Pd 2.74
Sc 0.6132 0.6132 0.9415  3 Pd 2.77-2.84
Pd 0.1655 0.1655 0.7335  5 Sc 2.74-2.84, 2 Tm 2.94
Pd 0.8345 0.8345 0.2665  5 Sc 2.74-2.84, 2 Tm 2.94

Computed properties:
* DOS at the Fermi energy: 1.3341 states/eV per atom
* calculated total energy: -6.002 eV/atom
* V: 160.7 Å³/cell


Record 3
A relaxed TmSc2Pd3 crystal, computed with PBE.

Unit cell a=3.3475 b=3.3475 c=10.1678 alpha=90.00 beta=90.00 gamma=90.00
Closest atoms and distances in Å follow each position.
Fractional coordinates of all 6 atoms:
Tm 0.0000 0.0000 0.0000  8 Pd 2.99, 4 Tm 3.35
Sc 0.0000 0.0000 0.3386  8 Pd 2.86-2.88
Sc 0.0000 0.0000 0.6614  8 Pd 2.86-2.88
Pd 0.5000 0.5000 0.1804  4 Sc 2.86, 4 Tm 2.99
Pd 0.5000 0.5000 0.5000  8 Sc 2.88
Pd 0.5000 0.5000 0.8196  4 Sc 2.86, 4 Tm 2.99

Computed properties:
* DOS at the Fermi energy: 0.6518 states/eV per atom
* calculated total energy: -6.359 eV/atom
* V: 113.9 Å³/cell


Q: DOS at the Fermi energy of number 1 (Tm5ScPd6)?
A: 0.6158 states/eV per atom


Q: Which value of V does entry 3 give?
A: 113.9 Å³/cell


Q: Number 1 is which compound?
A: Tm5ScPd6


Q: V of number 2 (Tm2Sc3Pd2)?
A: 160.7 Å³/cell